1.
{"formula": "Sr2TaCl", "functional": "GGA-PBE", "state": "relaxed", "lattice_angstrom": [[4.531, 0.000, 0.000], [0.000, 4.531, 0.000], [0.000, 0.000, 6.586]], "species": ["Sr", "Sr", "Ta", "Cl"], "fractional_positions": [[0.000, 0.000, 0.893], [0.500, 0.500, 0.343], [0.000, 0.000, 0.391], [0.500, 0.500, 0.873]], "de_polymorph_kcal_per_mol_atoms": 10.43}



2.
{"formula": "Zr2CuMo", "functional": "GGA-PBE", "state": "relaxed", "lattice_angstrom": [[-3.672, 1.710, -0.171], [-1.458, -2.885, 2.447], [-0.433, 4.750, 8.703]], "species": ["Zr", "Zr", "Zr", "Zr", "Mo", "Mo", "Cu", "Cu"], "fractional_positions": [[0.375, 0.370, 0.750], [0.875, 0.880, 0.750], [0.630, 0.125, 0.250], [0.120, 0.625, 0.250], [0.750, 0.250, 0.500], [0.000, 0.000, 0.000], [0.250, 0.750, 0.500], [0.500, 0.500, 0.000]], "de_polymorph_kcal_per_mol_atoms": 17.82, "formation_energy_ev_per_atom": 0.6599}



3.
{"formula": "Nd2HoGa6", "functional": "GGA-PBE", "state": "relaxed", "lattice_angstrom": [[-3.496, -2.239, 0.858], [3.974, -6.199, 0.014], [-0.907, 3.806, 6.239]], "species": ["Ga", "Ga", "Ga", "Ga", "Ga", "Ga", "Nd", "Nd", "Ho"], "fractional_positions": [[0.500, 0.332, 0.332], [0.500, 0.000, 0.668], [0.500, 0.668, 0.668], [0.500, 0.332, 0.000], [0.500, 0.000, 0.332], [0.500, 0.668, 0.000], [0.000, 0.667, 0.333], [0.000, 0.333, 0.667], [0.000, 0.000, 0.000]], "de_polymorph_kcal_per_mol_atoms": 0.00, "formation_energy_ev_per_atom": -0.6610}



4.
{"formula": "SrGe2P2", "functional": "GGA-PBE", "state": "relaxed", "lattice_angstrom": [[-4.095, 0.958, -6.216], [-4.867, -5.181, 2.408], [-2.292, 3.076, 1.984]], "species": ["Sr", "Sr", "P", "P", "P", "P", "Ge", "Ge", "Ge", "Ge"], "fractional_positions": [[0.500, 0.500, 0.000], [0.000, 0.000, 0.000], [0.103, 0.397, 0.000], [0.897, 0.603, 0.000], [0.603, 0.103, 0.000], [0.397, 0.897, 0.000], [0.120, 0.620, 0.500], [0.880, 0.380, 0.500], [0.380, 0.120, 0.500], [0.620, 0.880, 0.500]], "formation_energy_ev_per_atom": -0.1186}



5.
{"formula": "TbHoTh6", "functional": "GGA-PBE", "state": "relaxed", "lattice_angstrom": [[5.047, 0.000, 0.000], [0.000, 5.047, 0.000], [0.000, 0.000, 10.093]], "species": ["Th", "Th", "Th", "Th", "Th", "Th", "Ho", "Tb"], "fractional_positions": [[0.500, 0.000, 0.249], [0.500, 0.500, 0.500], [0.500, 0.000, 0.751], [0.000, 0.500, 0.249], [0.000, 0.500, 0.751], [0.500, 0.500, 0.000], [0.000, 0.000, 0.000], [0.000, 0.000, 0.500]], "de_polymorph_kcal_per_mol_atoms": 0.00, "formation_energy_ev_per_atom": 0.0583}



6.
{"formula": "ThAlGaCo3", "functional": "GGA-PBE", "state": "relaxed", "lattice_angstrom": [[6.070, 0.000, 0.000], [0.000, 5.465, 0.000], [0.000, -2.732, 5.932]], "species": ["Co", "Co", "Co", "Co", "Co", "Co", "Al", "Al", "Th", "Th", "Ga", "Ga"], "fractional_positions": [[0.000, 0.714, 0.000], [0.750, 0.843, 0.685], [0.000, 0.286, 0.000], [0.500, 0.714, 0.000], [0.500, 0.286, 0.000], [0.250, 0.157, 0.315], [0.750, 0.636, 0.271], [0.250, 0.364, 0.729], [0.750, 0.311, 0.622], [0.250, 0.689, 0.378], [0.750, 0.061, 0.122], [0.250, 0.939, 0.878]], "formation_energy_ev_per_atom": -0.1189}



7.
{"formula": "NaBeIn2", "functional": "GGA-PBE", "state": "relaxed", "lattice_angstrom": [[5.349, 0.000, 0.000], [0.000, 5.349, 0.000], [2.674, 2.674, 8.158]], "species": ["In", "In", "In", "In", "Na", "Na", "Be", "Be"], "fractional_positions": [[0.375, 0.524, 0.750], [0.274, 0.625, 0.250], [0.875, 0.726, 0.750], [0.476, 0.125, 0.250], [0.750, 0.250, 0.500], [0.000, 0.000, 0.000], [0.250, 0.750, 0.500], [0.500, 0.500, 0.000]], "formation_energy_ev_per_atom": 0.4215}



8.
{"formula": "Tb9Dy2Tl", "functional": "GGA-PBE", "state": "relaxed", "lattice_angstrom": [[-4.370, -0.981, -2.107], [-1.901, -1.073, 4.442], [-4.098, 14.495, 1.748]], "species": ["Tb", "Tb", "Tb", "Tb", "Tb", "Tb", "Tb", "Tb", "Tb", "Dy", "Dy", "Tl"], "fractional_positions": [[0.500, 0.000, 0.837], [0.500, 0.000, 0.500], [0.000, 0.500, 0.837], [0.500, 0.000, 0.163], [0.500, 0.500, 0.671], [0.500, 0.500, 0.329], [0.500, 0.500, 0.000], [0.000, 0.500, 0.500], [0.000, 0.500, 0.163], [0.000, 0.000, 0.667], [0.000, 0.000, 0.333], [0.000, 0.000, 0.000]], "formation_energy_ev_per_atom": -0.0426}



9.
{"formula": "La2CdCu3Ge4", "functional": "GGA-PBE", "state": "relaxed", "lattice_angstrom": [[4.342, 0.000, 0.000], [0.000, 4.342, 0.000], [0.000, 0.000, 10.404]], "species": ["Ge", "Ge", "Ge", "Ge", "La", "La", "Cu", "Cu", "Cu", "Cd"], "fractional_positions": [[0.000, 0.000, 0.000], [0.000, 0.500, 0.351], [0.500, 0.000, 0.649], [0.500, 0.500, 0.000], [0.000, 0.500, 0.761], [0.500, 0.000, 0.239], [0.000, 0.500, 0.120], [0.000, 0.000, 0.500], [0.500, 0.000, 0.880], [0.500, 0.500, 0.500]], "formation_energy_ev_per_atom": -0.5006}



10.
{"formula": "La6NiAg", "functional": "GGA-PBE", "state": "relaxed", "lattice_angstrom": [[5.070, -0.005, 1.543], [-0.459, 5.036, 1.523], [-0.101, -0.149, 9.619]], "species": ["La", "La", "La", "La", "La", "La", "Ni", "Ag"], "fractional_positions": [[0.601, 0.101, 0.799], [0.907, 0.399, 0.202], [0.093, 0.601, 0.798], [0.735, 0.748, 0.504], [0.399, 0.899, 0.201], [0.265, 0.252, 0.496], [0.500, 0.500, 0.000], [0.000, 0.000, 0.000]], "formation_energy_ev_per_atom": -0.0786}



11.
{"formula": "Ac3Zn3Sn2", "functional": "GGA-PBE", "state": "relaxed", "lattice_angstrom": [[4.597, 0.000, 0.000], [-2.299, 6.176, 0.000], [0.000, 0.000, 16.807]], "species": ["Zn", "Zn", "Zn", "Zn", "Zn", "Zn", "Sn", "Sn", "Sn", "Sn", "Ac", "Ac", "Ac", "Ac", "Ac", "Ac"], "fractional_positions": [[0.573, 0.146, 0.049], [0.427, 0.854, 0.549], [0.573, 0.146, 0.451], [0.294, 0.587, 0.250], [0.427, 0.854, 0.951], [0.706, 0.413, 0.750], [0.848, 0.696, 0.886], [0.152, 0.304, 0.386], [0.152, 0.304, 0.114], [0.848, 0.696, 0.614], [0.142, 0.284, 0.595], [0.858, 0.716, 0.405], [0.439, 0.879, 0.750], [0.142, 0.284, 0.905], [0.858, 0.716, 0.095], [0.561, 0.121, 0.250]], "formation_energy_ev_per_atom": -0.4833}



12.
{"formula": "TbGdAgRu", "functional": "GGA-PBE", "state": "relaxed", "lattice_angstrom": [[4.994, 0.000, 0.000], [2.497, 4.325, 0.000], [2.497, 1.442, 4.078]], "species": ["Ru", "Gd", "Tb", "Ag"], "fractional_positions": [[0.750, 0.750, 0.750], [0.000, 0.000, 0.000], [0.500, 0.500, 0.500], [0.250, 0.250, 0.250]], "formation_energy_ev_per_atom": -0.3113}



13.
{"formula": "In2FeCl", "functional": "GGA-PBE", "state": "relaxed", "lattice_angstrom": [[-0.584, 4.954, -0.866], [-4.637, 1.928, -0.639], [-2.019, 2.973, 3.566]], "species": ["Fe", "In", "In", "Cl"], "fractional_positions": [[0.250, 0.250, 0.250], [0.750, 0.750, 0.750], [0.000, 0.000, 0.000], [0.500, 0.500, 0.500]], "de_polymorph_kcal_per_mol_atoms": 11.92}



14.
{"formula": "CaFe2Tc", "functional": "GGA-PBE", "state": "relaxed", "lattice_angstrom": [[-2.680, 0.144, 1.491], [0.144, -3.017, 0.550], [3.388, 1.250, 5.966]], "species": ["Fe", "Fe", "Ca", "Tc"], "fractional_positions": [[0.000, 0.000, 0.439], [0.000, 0.000, 0.061], [0.500, 0.500, 0.750], [0.500, 0.500, 0.250]], "de_polymorph_kcal_per_mol_atoms": 1.16, "formation_energy_ev_per_atom": 0.4134}



15.
{"formula": "SrTlZnAu", "functional": "GGA-PBE", "state": "relaxed", "lattice_angstrom": [[-0.598, -0.534, 5.158], [-4.560, -1.636, 1.943], [-0.383, -4.761, 2.104]], "species": ["Zn", "Sr", "Au", "Tl"], "fractional_positions": [[0.250, 0.250, 0.250], [0.500, 0.500, 0.500], [0.750, 0.750, 0.750], [0.000, 0.000, 0.000]], "formation_energy_ev_per_atom": -0.3131}



16.
{"formula": "KLaP2O", "functional": "GGA-PBE", "state": "relaxed", "lattice_angstrom": [[5.136, 0.000, 0.000], [0.000, 5.136, 0.000], [0.000, 0.000, 4.523]], "species": ["P", "P", "K", "O", "La"], "fractional_positions": [[0.500, 0.000, 0.000], [0.000, 0.500, 0.000], [0.000, 0.000, 0.000], [0.000, 0.000, 0.500], [0.500, 0.500, 0.500]], "de_polymorph_kcal_per_mol_atoms": 19.24}



17.
{"formula": "CrAu", "functional": "GGA-PBE", "state": "relaxed", "lattice_angstrom": [[-2.834, 6.688, -1.730], [-3.663, -3.040, -5.753], [-5.857, -1.335, 4.435]], "species": ["Au", "Au", "Au", "Au", "Au", "Au", "Cr", "Cr", "Cr", "Cr", "Cr", "Cr"], "fractional_positions": [[0.000, 0.250, 0.500], [0.500, 0.000, 0.750], [0.500, 0.000, 0.250], [0.250, 0.500, 0.000], [0.750, 0.500, 0.000], [0.000, 0.750, 0.500], [0.250, 0.000, 0.500], [0.000, 0.500, 0.250], [0.750, 0.000, 0.500], [0.500, 0.250, 0.000], [0.000, 0.500, 0.750], [0.500, 0.750, 0.000]], "formation_energy_ev_per_atom": 1.0779}



no.,total magnetic moment (μB/f.u.)
1,3.7
2,0.0
3,0.0
4,0.0
5,0.0
6,1.3
7,0.0
8,0.0
9,0.0
10,0.0
11,0.0
12,7.2
13,2.9
14,3.8
15,0.0
16,1.4
17,4.8